Below is a geometry-optimized Cs2ZrBr6Cl structure, with properties calculated at the GGA-PBE level.

Properties
raw formation energy = -1.35 eV/atom
energy above the lowest structure with this stoichiometry = 86.1 meV per atom
SG = I4/mmm

a = 8.4624 Å, b = 8.4624 Å, c = 8.4624 Å
α = 122.07°, β = 122.07°, γ = 86.45°
Last column: nearest neighbours and their distance in Å.
Element x y z (fractional)
1 Cs 0.2500 0.7500 0.5000  12 Br 4.12-4.24
2 Cs 0.7500 0.2500 0.5000  12 Br 4.12-4.24
3 Zr 0.0000 0.0000 0.0000  6 Br 2.65
4 Br 0.2147 0.2147 0.0000  1 Zr 2.65
5 Br 0.2287 0.2287 0.4575  1 Zr 2.65
6 Br 0.2287 0.7713 0.0000  1 Zr 2.65
7 Br 0.7713 0.2287 0.0000  1 Zr 2.65
8 Br 0.7713 0.7713 0.5425  1 Zr 2.65
9 Br 0.7853 0.7853 0.0000  1 Zr 2.65
10 Cl 0.5000 0.5000 0.0000  6 Br 3.14-3.52

Below is a geometry-optimized Cs2ZrBr2Cl4 structure, with properties calculated at the GGA-PBE level.

Properties
raw formation energy = -1.87 eV/atom
SG = C2/m

a = 7.6087 Å, b = 7.6087 Å, c = 6.4464 Å
α = 90.43°, β = 90.43°, γ = 59.86°
Last column: nearest neighbours and their distance in Å.
Element x y z (fractional)
1 Cs 0.1640 0.1640 0.2498  8 Cl 3.77-4.15, 4 Br 3.80-3.98
2 Cs 0.8360 0.8360 0.7502  8 Cl 3.77-4.15, 4 Br 3.80-3.98
3 Zr 0.5000 0.5000 0.0000  4 Cl 2.49, 2 Br 2.67
4 Br 0.3328 0.3328 0.7638  1 Zr 2.67
5 Br 0.6672 0.6672 0.2362  1 Zr 2.67
6 Cl 0.1892 0.6574 0.2191  1 Zr 2.49
7 Cl 0.3426 0.8108 0.7809  1 Zr 2.49
8 Cl 0.6574 0.1892 0.2191  1 Zr 2.49
9 Cl 0.8108 0.3426 0.7809  1 Zr 2.49

Below is a geometry-optimized Cs2ZrBr6Cl structure, with properties calculated at the GGA-PBE level.

Properties
raw formation energy = -1.43 eV/atom
energy above the lowest structure with this stoichiometry = 0.0 meV per atom
SG = P1

a = 7.8364 Å, b = 8.1983 Å, c = 8.5881 Å
α = 89.93°, β = 62.96°, γ = 61.47°
Last column: nearest neighbours and their distance in Å.
Element x y z (fractional)
1 Cs 0.0000 0.0000 0.0000  1 Cl 3.40
2 Cs 0.0392 0.4380 0.4798  1 Cl 3.40
3 Zr 0.5185 0.7197 0.2380  6 Br 2.61-2.70
4 Br 0.0837 0.9253 0.4765  1 Zr 2.61
5 Br 0.4778 0.9886 0.0611  1 Zr 2.65
6 Br 0.5304 0.5151 0.9961  1 Zr 2.61
7 Br 0.5651 0.4512 0.4154  1 Zr 2.65
8 Br 0.6113 0.8924 0.4283  1 Zr 2.70, 1 Cl 2.86
9 Br 0.9739 0.5452 0.0514  1 Zr 2.70, 1 Cl 2.86
10 Cl 0.2548 0.2190 0.7395  2 Br 2.86

Below is a geometry-optimized Cs2ZrBr5Cl structure, with properties calculated at the GGA-PBE level.

Properties
raw formation energy = -1.71 eV/atom
SG = I4mm

a = 7.8983 Å, b = 7.8983 Å, c = 7.8983 Å
α = 120.11°, β = 120.11°, γ = 89.80°
Last column: nearest neighbours and their distance in Å.
Element x y z (fractional)
1 Cs 0.0000 0.5000 0.5000  10 Br 3.95, 2 Cl 3.95
2 Cs 0.5000 0.0000 0.5000  10 Br 3.95, 2 Cl 3.95
3 Zr 0.2515 0.2515 0.0000  1 Cl 2.48, 5 Br 2.66
4 Br 0.0116 0.0116 0.5229  1 Zr 2.66
5 Br 0.0116 0.4886 0.0000  1 Zr 2.66
6 Br 0.0135 0.0135 0.0000  1 Zr 2.66
7 Br 0.4886 0.0116 0.0000  1 Zr 2.66
8 Br 0.4886 0.4886 0.4771  1 Zr 2.66
9 Cl 0.4730 0.4730 0.0000  1 Zr 2.48

Below is a geometry-optimized CuBrCl structure, with properties calculated at the GGA-PBE level.

Properties
raw formation energy = -0.32 eV/atom
energy above the lowest structure with this stoichiometry = 73.5 meV per atom
SG = P3m1

a = 3.6267 Å, b = 3.6267 Å, c = 6.3645 Å
α = 90.00°, β = 90.00°, γ = 120.00°
Last column: nearest neighbours and their distance in Å.
Element x y z (fractional)
1 Cu 0.0000 0.0000 0.0000  3 Cl 2.44, 3 Br 2.59
2 Br 0.6667 0.3333 0.2398  3 Cu 2.59
3 Cl 0.3333 0.6667 0.8018  3 Cu 2.44

Below is a geometry-optimized Cu2BrCl6 structure, with properties calculated at the GGA-PBE level.

Properties
raw formation energy = -0.23 eV/atom
SG = C2/c

a = 8.3684 Å, b = 8.3684 Å, c = 7.3605 Å
α = 92.17°, β = 92.17°, γ = 78.23°
Last column: nearest neighbours and their distance in Å.
Element x y z (fractional)
1 Cu 0.1493 0.2764 0.2659  3 Cl 2.19-2.27
2 Cu 0.2764 0.1493 0.7659  3 Cl 2.19-2.27
3 Cu 0.7236 0.8507 0.2341  3 Cl 2.19-2.27
4 Cu 0.8507 0.7236 0.7341  3 Cl 2.19-2.27
5 Br 0.4328 0.5672 0.7500  4 Cl 2.39-2.61
6 Br 0.5672 0.4328 0.2500  4 Cl 2.39-2.61
7 Cl 0.1193 0.1443 0.9956  2 Cu 2.19-2.27
8 Cl 0.1443 0.1193 0.4956  2 Cu 2.19-2.27
9 Cl 0.1446 0.5850 0.7205  1 Br 2.39, 1 Cu 2.50
10 Cl 0.2486 0.4944 0.2180  1 Cu 2.20
11 Cl 0.4150 0.8554 0.7795  1 Br 2.39, 1 Cu 2.50
12 Cl 0.4944 0.2486 0.7180  1 Cu 2.20
13 Cl 0.5056 0.7514 0.2820  1 Cu 2.20
14 Cl 0.5850 0.1446 0.2205  1 Br 2.39, 1 Cu 2.50
15 Cl 0.7514 0.5056 0.7820  1 Cu 2.20
16 Cl 0.8554 0.4150 0.2795  1 Br 2.39, 1 Cu 2.50
17 Cl 0.8557 0.8807 0.5044  2 Cu 2.19-2.27
18 Cl 0.8807 0.8557 0.0044  2 Cu 2.19-2.27

Below is a geometry-optimized CuBrCl3 structure, with properties calculated at the GGA-PBE level.

Properties
raw formation energy = -0.27 eV/atom
energy above the lowest structure with this stoichiometry = 0.0 meV per atom
SG = P-1

a = 6.0982 Å, b = 6.4212 Å, c = 8.7675 Å
α = 73.03°, β = 89.23°, γ = 76.06°
Last column: nearest neighbours and their distance in Å.
Element x y z (fractional)
1 Cu 0.2329 0.4551 0.1129  4 Cl 2.15-2.25
2 Cu 0.7671 0.5449 0.8871  4 Cl 2.15-2.25
3 Br 0.0486 0.8859 0.4112  1 Br 2.41, 1 Cl 2.64
4 Br 0.9514 0.1141 0.5888  1 Br 2.41, 1 Cl 2.64
5 Cl 0.1149 0.3154 0.9307  2 Cu 2.24-2.25
6 Cl 0.3195 0.5784 0.3046  1 Cu 2.17
7 Cl 0.4423 0.7826 0.8443  1 Cu 2.15
8 Cl 0.5577 0.2174 0.1557  1 Cu 2.15
9 Cl 0.6805 0.4216 0.6954  1 Cu 2.17
10 Cl 0.8851 0.6846 0.0693  2 Cu 2.24-2.25

Below is a geometry-optimized CuBrCl structure, with properties calculated at the GGA-PBE level.

Properties
raw formation energy = 0.07 eV/atom
energy above the lowest structure with this stoichiometry = 464.8 meV per atom
SG = F-43m

a = 4.5089 Å, b = 4.5089 Å, c = 4.5089 Å
α = 60.00°, β = 60.00°, γ = 60.00°
Last column: nearest neighbours and their distance in Å.
Element x y z (fractional)
1 Cu 0.0000 0.0000 0.0000  4 Br 2.76, 4 Cl 2.76
2 Br 0.2500 0.2500 0.2500  4 Cu 2.76
3 Cl 0.7500 0.7500 0.7500  4 Cu 2.76

Below is a geometry-optimized Cu4Br3Cl structure, with properties calculated at the GGA-PBE level.

Properties
raw formation energy = -0.27 eV/atom
energy above the lowest structure with this stoichiometry = 0.0 meV per atom
SG = Pmn2_1

a = 7.9353 Å, b = 6.8933 Å, c = 6.5528 Å
α = 90.00°, β = 90.00°, γ = 90.00°
Last column: nearest neighbours and their distance in Å.
Element x y z (fractional)
1 Cu 0.0000 0.1513 0.0000  1 Cl 2.35, 3 Br 2.47-2.48
2 Cu 0.0000 0.8323 0.5184  1 Cl 2.34, 3 Br 2.47
3 Cu 0.2409 0.6707 0.9995  1 Cl 2.35, 3 Br 2.47-2.49
4 Cu 0.2591 0.3293 0.4995  1 Cl 2.35, 3 Br 2.47-2.49
5 Cu 0.5000 0.1677 0.0184  1 Cl 2.34, 3 Br 2.47
6 Cu 0.5000 0.8487 0.5000  1 Cl 2.35, 3 Br 2.47-2.48
7 Cu 0.7409 0.3293 0.4995  1 Cl 2.35, 3 Br 2.47-2.49
8 Cu 0.7591 0.6707 0.9995  1 Cl 2.35, 3 Br 2.47-2.49
9 Br 0.0000 0.1640 0.3761  4 Cu 2.47-2.49
10 Br 0.2493 0.3321 0.8756  4 Cu 2.47-2.48
11 Br 0.2507 0.6679 0.3756  4 Cu 2.47-2.48
12 Br 0.5000 0.8360 0.8761  4 Cu 2.47-2.49
13 Br 0.7493 0.6679 0.3756  4 Cu 2.47-2.48
14 Br 0.7507 0.3321 0.8756  4 Cu 2.47-2.48
15 Cl 0.0000 0.8315 0.8759  4 Cu 2.34-2.35
16 Cl 0.5000 0.1685 0.3759  4 Cu 2.34-2.35

Below is a geometry-optimized CuBrCl structure, with properties calculated at the GGA-PBE level.

Properties
raw formation energy = -0.39 eV/atom
energy above the lowest structure with this stoichiometry = 0.0 meV per atom
SG = P-1

a = 4.2692 Å, b = 6.4301 Å, c = 6.4770 Å
α = 81.64°, β = 80.84°, γ = 76.08°
Last column: nearest neighbours and their distance in Å.
Element x y z (fractional)
1 Cu 0.2405 0.2564 0.4991  2 Cl 2.28, 2 Br 2.42
2 Cu 0.7595 0.7436 0.5009  2 Cl 2.28, 2 Br 2.42
3 Br 0.3048 0.9236 0.7320  2 Cu 2.42
4 Br 0.6952 0.0764 0.2680  2 Cu 2.42
5 Cl 0.1893 0.5732 0.2833  2 Cu 2.28
6 Cl 0.8107 0.4268 0.7167  2 Cu 2.28

Below is a geometry-optimized Cu4Br3Cl structure, with properties calculated at the GGA-PBE level.

Properties
raw formation energy = -0.09 eV/atom
energy above the lowest structure with this stoichiometry = 176.7 meV per atom
SG = I4/mmm

a = 6.5112 Å, b = 6.5112 Å, c = 6.5112 Å
α = 131.51°, β = 131.51°, γ = 71.00°
Last column: nearest neighbours and their distance in Å.
Element x y z (fractional)
1 Cu 0.0000 0.5000 0.5000  4 Br 2.65-2.67, 2 Cl 2.67
2 Cu 0.2395 0.2395 0.0000  1 Cl 2.54, 5 Br 2.68-2.76
3 Cu 0.5000 0.0000 0.5000  4 Br 2.65-2.67, 2 Cl 2.67
4 Cu 0.7605 0.7605 0.0000  1 Cl 2.54, 5 Br 2.68-2.76
5 Br 0.2500 0.7500 0.5000  6 Cu 2.65-2.68
6 Br 0.5000 0.5000 0.0000  6 Cu 2.67-2.76
7 Br 0.7500 0.2500 0.5000  6 Cu 2.65-2.68
8 Cl 0.0000 0.0000 0.0000  6 Cu 2.54-2.67

Below is a geometry-optimized Cu3BrCl structure, with properties calculated at the GGA-PBE level.

Properties
raw formation energy = 0.50 eV/atom
energy above the lowest structure with this stoichiometry = 0.0 meV per atom
SG = Pm-3m

a = 4.6420 Å, b = 4.6420 Å, c = 4.6420 Å
α = 90.00°, β = 90.00°, γ = 90.00°
Last column: nearest neighbours and their distance in Å.
Element x y z (fractional)
1 Cu 0.0000 0.0000 0.5000  2 Cl 2.32
2 Cu 0.0000 0.5000 0.0000  2 Cl 2.32
3 Cu 0.5000 0.0000 0.0000  2 Cl 2.32
4 Br 0.5000 0.5000 0.5000  12 Cu 3.28
5 Cl 0.0000 0.0000 0.0000  6 Cu 2.32